NiIr2Pb: relaxed, PBE-GGA.

As for the total magnetization: 0.00 μB per formula unit. The value obtained for the energy of formation is 0.4690 eV/atom. The total energy comes out at -6.33 eV/atom. The space group is Cmmm, No. 65.

Unit cell a=4.6856 b=4.6856 c=3.0113 alpha=90.00 beta=90.00 gamma=104.69
Last column: nearest neighbours and their distance in Å.
Positions (direct):
1 Ni 0.5000 0.0000 0.5000  8 Ir 2.78, 2 Pb 2.86, 2 Ni 3.01
2 Ir 0.5000 0.5000 0.0000  4 Pb 2.78, 4 Ni 2.78, 4 Ir 2.86-3.01
3 Pb 0.0000 0.5000 0.5000  8 Ir 2.78, 2 Ni 2.86, 2 Pb 3.01
4 Ir 0.0000 0.0000 0.0000  4 Ni 2.78, 4 Pb 2.78, 4 Ir 2.86-3.01